VASP calculation (PBEsol) on a relaxed structure of Pt8W.

Results
DFT formation energy: -212 meV per atom
E: -7.94 eV/atom
Total moment: 0.00 μB per formula unit

```
Pt8W
1.0
-4.162 4.162 1.947
4.162 -4.162 1.947
4.162 4.162 -1.947
Pt W
8 1
direct
0.000 0.329 0.329
0.000 0.671 0.671
0.329 0.000 0.329
0.339 0.339 0.677
0.339 0.661 0.000
0.661 0.339 0.000
0.661 0.661 0.323
0.671 0.000 0.671
0.000 0.000 0.000
```

VASP calculation (PBEsol) on a relaxed structure of Ca2SiP.

Results
E: -4.17 eV/atom
Total moment: 0.77 μB per formula unit
Energy relative to the elements, uncorrected: -223 meV per atom

```
Ca2SiP
1.0
4.151 0.000 0.000
0.000 4.151 0.000
0.000 0.000 5.859
Ca Si P
2 1 1
direct
0.000 0.000 0.000
0.500 0.500 0.500
0.000 0.000 0.500
0.500 0.500 0.000
```

VASP calculation (PBEsol) on a relaxed structure of Cu2SnHgS4.

Results
E: -4.20 eV/atom
Total moment: 0.00 μB per formula unit
Energy relative to the elements, uncorrected: -317 meV per atom

```
Cu2SnHgS4
1.0
-2.767 2.767 5.436
2.767 -2.767 5.436
2.767 2.767 -5.436
Cu Sn Hg S
2 1 1 4
direct
0.250 0.750 0.500
0.750 0.250 0.500
0.000 0.000 0.000
0.500 0.500 0.000
0.099 0.099 0.484
0.385 0.901 0.000
0.615 0.615 0.516
0.901 0.385 0.000
```

VASP calculation (PBEsol) on a relaxed structure of CaMgPb2.

Results
DFT formation energy: -295 meV per atom
E: -3.26 eV/atom
Total moment: 0.00 μB per formula unit

```
CaMgPb2
1.0
2.331 -6.424 0.000
2.331 6.424 0.000
0.000 0.000 7.547
Ca Mg Pb
2 2 4
direct
0.057 0.943 0.750
0.943 0.057 0.250
0.212 0.788 0.250
0.788 0.212 0.750
0.379 0.621 0.537
0.379 0.621 0.963
0.621 0.379 0.037
0.621 0.379 0.463
```

VASP calculation (PBEsol) on a relaxed structure of ScCrRu2.

Results
DFT formation energy: 37 meV per atom
E: -9.26 eV/atom
Total moment: 0.00 μB per formula unit

```
ScCrRu2
1.0
-1.495 2.273 4.190
1.495 -2.273 4.190
1.495 2.273 -4.190
Sc Cr Ru
1 1 2
direct
0.000 0.000 0.000
0.500 0.500 0.000
0.275 0.775 0.500
0.725 0.225 0.500
```

VASP calculation (PBEsol) on a relaxed structure of Y2Pt2Au.

Results
DFT formation energy: -1057 meV per atom
E: -7.36 eV/atom
Total moment: 0.00 μB per formula unit

```
Y2Pt2Au
1.0
7.481 0.000 0.000
0.000 7.481 0.000
0.000 0.000 3.673
Y Pt Au
4 4 2
direct
0.171 0.329 0.000
0.329 0.829 0.000
0.671 0.171 0.000
0.829 0.671 0.000
0.132 0.632 0.500
0.368 0.132 0.500
0.632 0.868 0.500
0.868 0.368 0.500
0.000 0.000 0.500
0.500 0.500 0.500
```

VASP calculation (PBEsol) on a relaxed structure of La3BeCl.

Results
E: -4.31 eV/atom
Total moment: 0.01 μB per formula unit
Energy relative to the elements, uncorrected: 104 meV per atom

```
La3BeCl
1.0
5.416 0.000 0.000
0.000 5.416 0.000
0.000 0.000 5.416
La Be Cl
3 1 1
direct
0.000 0.000 0.500
0.000 0.500 0.000
0.500 0.000 0.000
0.000 0.000 0.000
0.500 0.500 0.500
```

VASP calculation (PBEsol) on a relaxed structure of Be2CdPb.

Results
DFT formation energy: 627 meV per atom
E: -2.67 eV/atom
Total moment: 0.00 μB per formula unit

```
Be2CdPb
1.0
2.981 0.000 0.000
0.000 3.748 0.000
0.000 0.000 6.301
Be Cd Pb
2 1 1
direct
0.000 0.000 0.183
0.000 0.000 0.817
0.500 0.500 0.000
0.500 0.500 0.500
```

VASP calculation (PBEsol) on a relaxed structure of RbLiGa3.

Results
DFT formation energy: 1108 meV per atom
E: -1.49 eV/atom
Total moment: 0.00 μB per formula unit

```
RbLiGa3
1.0
5.821 0.000 0.000
0.000 5.821 0.000
0.000 0.000 5.821
Rb Li Ga
1 1 3
direct
0.000 0.000 0.000
0.500 0.500 0.500
0.000 0.000 0.500
0.000 0.500 0.000
0.500 0.000 0.000
```

VASP calculation (PBEsol) on a relaxed structure of SbPbAu2.

Results
E: -4.07 eV/atom
Total moment: 0.00 μB per formula unit
Energy relative to the elements, uncorrected: 31 meV per atom

```
SbPbAu2
1.0
3.318 0.000 0.000
0.000 4.461 0.000
0.000 0.000 6.199
Sb Pb Au
1 1 2
direct
0.000 0.000 0.000
0.500 0.000 0.500
0.000 0.500 0.270
0.000 0.500 0.730
```

VASP calculation (PBEsol) on a relaxed structure of TlCoAu2.

Results
DFT formation energy: 337 meV per atom
E: -4.22 eV/atom
Total moment: 1.17 μB per formula unit

```
TlCoAu2
1.0
-2.086 2.086 3.822
2.086 -2.086 3.822
2.086 2.086 -3.822
Tl Co Au
1 1 2
direct
0.000 0.000 0.000
0.250 0.750 0.500
0.500 0.500 0.000
0.750 0.250 0.500
```

VASP calculation (PBEsol) on a relaxed structure of Y2O3.

Results
E: -9.45 eV/atom
Total moment: 0.00 μB per formula unit
Energy relative to the elements, uncorrected: -3576 meV per atom

```
Y2O3
1.0
5.740 0.000 0.000
0.000 5.899 0.000
0.000 0.000 16.553
Y O
16 24
direct
0.002 0.210 0.070
0.002 0.290 0.570
0.005 0.237 0.817
0.005 0.263 0.317
0.495 0.737 0.817
0.495 0.763 0.317
0.498 0.710 0.070
0.498 0.790 0.570
0.502 0.210 0.430
0.502 0.290 0.930
0.505 0.237 0.683
0.505 0.263 0.183
0.995 0.737 0.683
0.995 0.763 0.183
0.998 0.710 0.430
0.998 0.790 0.930
0.142 0.657 0.553
0.142 0.843 0.053
0.145 0.127 0.200
0.145 0.373 0.700
0.208 0.516 0.875
0.208 0.984 0.375
0.292 0.016 0.875
0.292 0.484 0.375
0.355 0.627 0.200
0.355 0.873 0.700
0.358 0.157 0.553
0.358 0.343 0.053
0.642 0.657 0.947
0.642 0.843 0.447
0.645 0.127 0.300
0.645 0.373 0.800
0.708 0.516 0.625
0.708 0.984 0.125
0.792 0.016 0.625
0.792 0.484 0.125
0.855 0.627 0.300
0.855 0.873 0.800
0.858 0.157 0.947
0.858 0.343 0.447
```

VASP calculation (PBEsol) on a relaxed structure of Ca2CuSi.

Results
E: -3.95 eV/atom
Total moment: 0.00 μB per formula unit
Energy relative to the elements, uncorrected: -360 meV per atom

```
Ca2CuSi
1.0
2.033 1.174 7.345
-2.033 1.174 7.345
0.000 -2.348 7.345
Ca Cu Si
2 1 1
direct
0.000 0.000 0.000
0.174 0.174 0.174
0.420 0.420 0.420
0.754 0.754 0.754
```